The following is a DFT calculation (PBE+U) of a relaxed TbScCr2O8 crystal.

Unit cell a=5.8876 b=5.8876 c=5.8876 alpha=106.10 beta=106.10 gamma=116.45
Last column: magnetic moment on the atom in μB.
Sites, in units of the cell vectors:
Tb1 0.2500 0.7500 0.5000  0.02
Sc1 0.0000 0.0000 0.0000  0.04
Cr1 0.7500 0.2500 0.5000  1.09
Cr2 0.5000 0.5000 0.0000  1.12
O1 0.3855 0.0768 0.3087  -0.03
O2 0.3167 0.4982 0.1816  -0.04
O3 0.3167 0.1351 0.8184  -0.04
O4 0.7680 0.0768 0.6913  -0.03
O5 0.8649 0.6833 0.1816  -0.04
O6 0.9232 0.2320 0.3087  -0.03
O7 0.9232 0.6145 0.6913  -0.03
O8 0.5018 0.6833 0.8184  -0.04

Results
Total energy, eV/atom: -7.706
SG: I-4m2 (119)